Record 1
ReAsSBr2 at its PBEsol-relaxed geometry. Source: Alexandria via LeMat-Bulk, functional meta-GGA SCAN.

Geometry as extended XYZ:
```
5
Lattice="4.856 0.000 0.000 0.000 4.848 0.000 0.000 0.000 4.848" Properties=species:S:1:pos:R:3 pbc="T T T"
Br 0.000 0.000 2.424
Br 0.000 2.424 0.000
Re 0.000 0.000 0.000
As 2.428 0.000 0.000
S 2.428 2.424 2.424
```

Values from the calculation:
E_form (uncorrected) (eV/atom): 0.88

Record 2
YSc2Rh at its PBEsol-relaxed geometry. Source: Alexandria via LeMat-Bulk, functional meta-GGA SCAN.

Geometry as extended XYZ:
```
4
Lattice="3.250 0.000 0.000 0.000 3.250 0.000 0.000 0.000 8.138" Properties=species:S:1:pos:R:3 pbc="T T T"
Y 1.625 1.625 0.000
Rh 1.625 1.625 4.069
Sc 0.000 0.000 2.539
Sc 0.000 0.000 5.599
```

Values from the calculation:
Offset from the most stable computed form (kJ/mol of atoms): 4.0
Formation energy from the elements (eV/f.u.): -2.08

Record 3
KRu2 at its PBEsol-relaxed geometry. Source: Alexandria via LeMat-Bulk, functional meta-GGA SCAN.

Geometry as extended XYZ:
```
3
Lattice="-1.307 -2.013 0.658 -0.950 -0.915 -4.687 3.968 -1.892 2.094" Properties=species:S:1:pos:R:3 pbc="T T T"
Ru 0.036 -2.247 -2.098
Ru 1.675 -2.573 0.162
K 0.000 0.000 0.000
```

Values from the calculation:
Formation energy from the elements (eV/f.u.): 4.29

Record 4
MnAlI2O at its PBEsol-relaxed geometry. Source: Alexandria via LeMat-Bulk, functional meta-GGA SCAN.

Geometry as extended XYZ:
```
5
Lattice="-1.420 -2.714 -1.981 -2.780 -1.858 4.537 -4.384 3.275 -1.346" Properties=species:S:1:pos:R:3 pbc="T T T"
O -0.710 -1.357 -0.991
Al -4.292 -0.648 0.605
I -2.192 1.638 -0.673
I -1.390 -0.929 2.268
Mn 0.000 0.000 0.000
```

Values from the calculation:
E_form (uncorrected) (eV/atom): -0.53

Record 5
SrOsW at its PBEsol-relaxed geometry. Source: Alexandria via LeMat-Bulk, functional meta-GGA SCAN.

Geometry as extended XYZ:
```
3
Lattice="3.191 0.000 0.000 0.000 3.193 0.000 -1.596 -1.596 6.239" Properties=species:S:1:pos:R:3 pbc="T T T"
W 0.000 0.000 4.653
Os 1.596 1.596 5.803
Sr 1.596 1.596 2.023
```

Values from the calculation:
Formation energy from the elements (eV/f.u.): 1.76

Record 6
NbRe2Mo at its PBEsol-relaxed geometry. Source: Alexandria via LeMat-Bulk, functional meta-GGA SCAN.

Geometry as extended XYZ:
```
4
Lattice="4.439 0.000 0.000 2.220 3.845 0.000 2.220 1.282 3.625" Properties=species:S:1:pos:R:3 pbc="T T T"
Mo 4.439 2.563 1.812
Re 6.659 3.845 2.719
Re 2.220 1.282 0.906
Nb 0.000 0.000 0.000
```

Values from the calculation:
Formation energy from the elements (eV/f.u.): -0.56

Record 7
RbFeBr3 at its PBEsol-relaxed geometry. Source: Alexandria via LeMat-Bulk, functional meta-GGA SCAN.

Geometry as extended XYZ:
```
10
Lattice="6.230 -0.003 -0.030 0.021 7.750 0.010 0.283 3.769 6.568" Properties=species:S:1:pos:R:3 pbc="T T T"
Br 1.763 3.842 1.525
Br 1.801 7.391 1.936
Br 4.734 4.125 4.612
Br 5.034 1.711 1.582
Br 4.771 7.675 5.023
Br 1.500 9.805 4.966
Fe 5.412 9.688 3.936
Fe 1.122 1.828 2.612
Rb 1.626 5.812 5.112
Rb 4.909 5.705 1.436
```

Values from the calculation:
E_form (uncorrected) (eV/atom): -1.20

Record 8
AgSb2Br at its PBEsol-relaxed geometry. Source: Alexandria via LeMat-Bulk, functional meta-GGA SCAN.

Geometry as extended XYZ:
```
4
Lattice="4.387 0.000 -0.022 0.000 4.800 0.000 -1.021 0.000 5.033" Properties=species:S:1:pos:R:3 pbc="T T T"
Sb 2.251 0.000 4.042
Sb 1.115 0.000 0.970
Ag 2.194 2.400 -0.011
Br -0.511 2.400 2.517
```

Values from the calculation:
Offset from the most stable computed form (kJ/mol of atoms): 10.6
E_form (uncorrected) (eV/atom): -0.03

Record 9
CaVO3 at its PBEsol-relaxed geometry. Source: Alexandria via LeMat-Bulk, functional meta-GGA SCAN.

Geometry as extended XYZ:
```
20
Lattice="5.276 0.000 0.000 0.000 5.319 0.000 0.000 0.000 7.467" Properties=species:S:1:pos:R:3 pbc="T T T"
O 3.773 1.147 3.511
O 0.300 0.049 1.867
O 1.503 4.172 7.244
O 4.141 3.807 3.511
O 1.135 1.512 7.244
O 2.338 2.709 1.867
O 4.141 3.807 0.222
O 2.938 2.610 5.600
O 1.503 4.172 3.956
O 1.135 1.512 3.956
O 4.976 5.270 5.600
O 3.773 1.147 0.222
V 2.638 2.660 3.733
V 0.000 0.000 0.000
V 0.000 0.000 3.733
V 2.638 2.660 0.000
Ca 0.029 2.836 5.600
Ca 2.667 5.143 1.867
Ca 2.609 0.177 5.600
Ca 5.247 2.483 1.867
```

Values from the calculation:
E_form (uncorrected) (eV/atom): -3.03

Record 10
SnH5CI3N2 at its PBEsol-relaxed geometry. Source: Alexandria via LeMat-Bulk, functional meta-GGA SCAN.

Geometry as extended XYZ:
```
12
Lattice="6.181 0.000 -0.099 0.000 6.370 0.000 0.180 0.000 6.180" Properties=species:S:1:pos:R:3 pbc="T T T"
I 5.489 3.185 2.070
I 2.316 3.185 5.390
I 2.572 0.000 2.459
H 5.787 2.004 5.531
H 0.250 0.000 0.239
H 4.637 1.244 4.432
H 5.787 4.366 5.531
H 4.637 5.127 4.432
C 5.816 0.000 5.559
N 5.375 5.214 5.138
N 5.375 1.156 5.138
Sn 2.389 3.185 2.283
```

Record 11
Ca2OsPt at its PBEsol-relaxed geometry. Source: Alexandria via LeMat-Bulk, functional meta-GGA SCAN.

Geometry as extended XYZ:
```
4
Lattice="4.784 0.000 0.000 2.392 4.143 0.000 2.392 1.381 3.906" Properties=species:S:1:pos:R:3 pbc="T T T"
Os 0.000 0.000 0.000
Pt 4.784 2.762 1.953
Ca 7.176 4.143 2.929
Ca 2.392 1.381 0.976
```

Values from the calculation:
Offset from the most stable computed form (kJ/mol of atoms): 13.2
Formation energy from the elements (eV/f.u.): 0.24

Record 12
Sm3V at its PBEsol-relaxed geometry. Source: Alexandria via LeMat-Bulk, functional meta-GGA SCAN.

Geometry as extended XYZ:
```
4
Lattice="5.331 0.000 0.000 2.666 4.617 0.000 2.666 1.539 4.353" Properties=species:S:1:pos:R:3 pbc="T T T"
Sm 2.666 1.539 1.088
Sm 7.997 4.617 3.265
Sm 5.331 3.078 2.176
V 0.000 0.000 0.000
```

Values from the calculation:
Formation energy from the elements (eV/f.u.): 0.89

| no. | raw total energy (Ha/atom) | total moment (μB/cell) |
| --- | --- | --- |
| 1 | -0.995 | 0.000 |
| 2 | -0.847 | 0.084 |
| 3 | -0.903 | 0.000 |
| 4 | -0.797 | 4.051 |
| 5 | -1.985 | 0.000 |
| 6 | -1.936 | 0.000 |
| 7 | -0.759 | 8.000 |
| 8 | -1.153 | 0.000 |
| 9 | -0.448 | 0.002 |
| 10 | -0.601 | 0.000 |
| 11 | -1.481 | 0.000 |
| 12 | -1.377 | 3.222 |